No. 1
Here is MnZnSeN2 at its PBEsol-relaxed geometry from the Alexandria database. Energies are from meta-GGA SCAN.

Cell: 3.766 3.766 5.485 Å, 90.00 90.00 90.00°
Space group P4/mmm (No. 123)
Symmetry-distinct sites (fractional):
Mn: 0.000 0.000 0.000
Zn: 0.500 0.500 0.500
Se: 0.500 0.500 0.000
N: 0.000 0.500 0.500

Computed properties:
* E_tot: -13.050 eV per atom
* formation energy from raw total energies: 5.2 eV/f.u.
* mass density: 4.9 g/cm³

=====

No. 2
Here is Eu at its PBEsol-relaxed geometry from the Alexandria database. Energies are from meta-GGA SCAN.

Cell: 6.549 6.549 6.549 Å, 90.00 90.00 90.00°
Space group Fd-3m (No. 227, origin choice 2)
Symmetry-distinct sites (fractional):
Eu: 0.125 0.125 0.125

Computed properties:
* E_tot: -52.573 eV per atom
* mass density: 7.2 g/cm³
* E above lowest polymorph: 1139 meV per atom
* formation enthalpy at 0 K: 1.14 eV per formula unit

=====

No. 3
Here is LaAgCl at its PBEsol-relaxed geometry from the Alexandria database. Energies are from meta-GGA SCAN.

Cell: 3.7809 3.7809 6.7047 Å, 90.00 90.00 120.00°
Space group P3m1 (No. 156)
Symmetry-distinct sites (fractional):
La: 0.0000 0.0000 0.0000
Ag: 0.3333 0.6667 0.6694
Cl: 0.6667 0.3333 0.2883

Computed properties:
* E_tot: -28.399 eV per atom
* formation energy from raw total energies: -2.7 eV/f.u.
* mass density: 5.6 g/cm³

=====

No. 4
Here is CdTeH3 at its PBEsol-relaxed geometry from the Alexandria database. Energies are from meta-GGA SCAN.

Cell: 3.964 3.964 3.964 Å, 90.00 90.00 90.00°
Space group Pm-3m (No. 221)
Symmetry-distinct sites (fractional):
Cd: 0.000 0.000 0.000
Te: 0.500 0.500 0.500
H: 0.000 0.000 0.500

Computed properties:
* E_tot: -14.751 eV per atom
* mass density: 6.5 g/cm³

=====

No. 5
Here is IrRu2Rh at its PBEsol-relaxed geometry from the Alexandria database. Energies are from meta-GGA SCAN.

Cell: 3.781 3.781 7.564 Å, 90.00 90.00 90.00°
Space group I-4m2 (No. 119)
Symmetry-distinct sites (fractional):
Ir: 0.000 0.000 0.000
Ru: 0.000 0.000 0.500
Ru: 0.000 0.500 0.250
Rh: 0.000 0.500 0.750

Computed properties:
* E_tot: -43.627 eV per atom
* mass density: 15.3 g/cm³
* E above lowest polymorph: 8 meV per atom
* formation enthalpy at 0 K: 0.02 eV per formula unit

=====

No. 6
Here is CaRe2As at its PBEsol-relaxed geometry from the Alexandria database. Energies are from meta-GGA SCAN.

Cell: 3.172 4.876 8.784 Å, 90.00 90.00 90.00°
Space group Cmmm (No. 65)
Symmetry-distinct sites (fractional):
Ca: 0.000 0.000 0.000
Re: 0.000 0.500 0.285
As: 0.000 0.000 0.500

Computed properties:
* E_tot: -42.233 eV per atom
* mass density: 11.9 g/cm³
* formation enthalpy at 0 K: 3.12 eV per formula unit

=====

No. 7
Here is MnFeRe3 at its PBEsol-relaxed geometry from the Alexandria database. Energies are from meta-GGA SCAN.

Cell: 4.345 4.345 4.345 Å, 90.00 90.00 90.00°
Space group Pm-3m (No. 221)
Symmetry-distinct sites (fractional):
Mn: 0.000 0.000 0.000
Fe: 0.500 0.500 0.500
Re: 0.000 0.500 0.500

Computed properties:
* E_tot: -48.471 eV per atom
* mass density: 13.6 g/cm³
* formation enthalpy at 0 K: 7.32 eV per formula unit

=====

No. 8
Here is LaYSc at its PBEsol-relaxed geometry from the Alexandria database. Energies are from meta-GGA SCAN.

Cell: 3.505 3.505 14.354 Å, 90.00 90.00 90.00°
Space group I4mm (No. 107)
Symmetry-distinct sites (fractional):
La: 0.000 0.000 0.000
Y: 0.000 0.000 0.679
Sc: 0.000 0.000 0.338

Computed properties:
* E_tot: -28.320 eV per atom
* mass density: 5.1 g/cm³
* E above lowest polymorph: 1 meV per atom
* formation enthalpy at 0 K: 0.22 eV per formula unit